## one
A relaxed Ir3AuBr crystal, computed with GGA-PBE.

a = 4.961 Å, b = 4.961 Å, c = 4.961 Å
α = 90.00°, β = 90.00°, γ = 90.00°
Positions (direct):
Ir1 0.000 0.000 0.500
Ir2 0.000 0.500 0.000
Ir3 0.500 0.000 0.000
Au1 0.000 0.000 0.000
Br1 0.500 0.500 0.500

## Properties
Space-group type = Pm-3m
Size of the total moment = 4.42 Bohr magnetons per cell


## two
A relaxed Ir3AuBr crystal, computed with GGA-PBE.

a = 4.603 Å, b = 4.603 Å, c = 4.603 Å
α = 90.00°, β = 90.00°, γ = 90.00°
Positions (direct):
Ir1 0.000 0.000 0.500
Ir2 0.000 0.500 0.000
Ir3 0.500 0.000 0.000
Au1 0.500 0.500 0.500
Br1 0.000 0.000 0.000

## Properties
Space-group type = Pm-3m
Size of the total moment = 0.00 Bohr magnetons per cell


Verdict on stability: one comes out at the bottom.


## one
A relaxed IrAuBr4 crystal, computed with GGA-PBE.

a = 6.009 Å, b = 6.009 Å, c = 6.009 Å
α = 60.00°, β = 60.00°, γ = 60.00°
Positions (direct):
Ir1 0.000 0.000 0.000
Au1 0.750 0.750 0.750
Br1 0.374 0.374 0.374
Br2 0.374 0.374 0.877
Br3 0.374 0.877 0.374
Br4 0.877 0.374 0.374

## Properties
Space-group type = F-43m
Size of the total moment = 1.63 Bohr magnetons per cell


## two
A relaxed IrAuBr4 crystal, computed with GGA-PBE.

a = 9.752 Å, b = 9.752 Å, c = 6.507 Å
α = 90.37°, β = 90.37°, γ = 137.00°
Positions (direct):
Ir1 0.051 0.949 0.750
Ir2 0.949 0.051 0.250
Au1 0.353 0.647 0.250
Au2 0.647 0.353 0.750
Br1 0.047 0.348 0.415
Br2 0.147 0.240 0.932
Br3 0.240 0.147 0.432
Br4 0.348 0.047 0.915
Br5 0.652 0.953 0.085
Br6 0.760 0.853 0.568
Br7 0.853 0.760 0.068
Br8 0.953 0.652 0.585

## Properties
Space-group type = C2/c
Size of the total moment = 0.00 Bohr magnetons per cell


Verdict on stability: one comes out at the bottom.


## one
A relaxed Mn2IrAuBr crystal, computed with GGA-PBE.

a = 4.256 Å, b = 4.256 Å, c = 4.879 Å
α = 90.00°, β = 90.00°, γ = 90.00°
Positions (direct):
Mn1 0.000 0.500 0.000
Mn2 0.500 0.000 0.000
Ir1 0.000 0.000 0.500
Au1 0.500 0.500 0.500
Br1 0.500 0.500 0.000

## Properties
Space-group type = P4/mmm
Size of the total moment = 0.31 Bohr magnetons per cell


## two
A relaxed Mn2IrAuBr crystal, computed with GGA-PBE.

a = 4.955 Å, b = 4.955 Å, c = 5.028 Å
α = 90.00°, β = 90.00°, γ = 90.00°
Positions (direct):
Mn1 0.000 0.500 0.000
Mn2 0.500 0.000 0.000
Ir1 0.000 0.000 0.000
Au1 0.000 0.000 0.500
Br1 0.500 0.500 0.500

## Properties
Space-group type = P4/mmm
Size of the total moment = 9.23 Bohr magnetons per cell


Verdict on stability: one comes out at the bottom.


## one
A relaxed IrAuBrN crystal, computed with GGA-PBE.

a = 5.001 Å, b = 5.593 Å, c = 5.593 Å
α = 36.73°, β = 90.00°, γ = 90.00°
Positions (direct):
Ir1 0.000 0.000 0.000
Au1 0.000 0.246 0.246
Br1 0.500 0.067 0.067
N1 0.000 0.439 0.439

## Properties
Space-group type = Amm2
Size of the total moment = 0.00 Bohr magnetons per cell


## two
A relaxed IrAuBrN crystal, computed with GGA-PBE.

a = 3.293 Å, b = 5.921 Å, c = 6.711 Å
α = 104.67°, β = 102.29°, γ = 106.15°
Positions (direct):
Ir1 0.000 0.000 0.000
Au1 0.229 0.599 0.838
Br1 0.916 0.122 0.667
N1 0.605 0.111 0.114

## Properties
Space-group type = P1
Size of the total moment = 0.00 Bohr magnetons per cell


## three
A relaxed IrAuBrN crystal, computed with GGA-PBE.

a = 3.455 Å, b = 5.160 Å, c = 4.906 Å
α = 90.00°, β = 96.68°, γ = 90.00°
Positions (direct):
Ir1 0.000 0.000 0.000
Au1 0.581 0.000 0.436
Br1 0.016 0.500 0.116
N1 0.476 0.000 0.848

## Properties
Space-group type = Pm
Size of the total moment = 0.00 Bohr magnetons per cell


## four
A relaxed IrAuBrN crystal, computed with GGA-PBE.

a = 2.800 Å, b = 5.379 Å, c = 6.874 Å
α = 81.28°, β = 80.40°, γ = 89.99°
Positions (direct):
Ir1 0.000 0.000 0.000
Au1 0.554 0.606 0.868
Br1 0.867 0.711 0.330
N1 0.548 0.217 0.884

## Properties
Space-group type = P1
Size of the total moment = 0.00 Bohr magnetons per cell


Verdict on stability: four comes out at the bottom.


## one
A relaxed K3AuBr6 crystal, computed with GGA-PBE.

a = 8.127 Å, b = 8.127 Å, c = 8.127 Å
α = 60.00°, β = 60.00°, γ = 60.00°
Positions (direct):
K1 0.000 0.000 0.000
K2 0.250 0.250 0.250
K3 0.750 0.750 0.750
Au1 0.500 0.500 0.500
Br1 0.269 0.269 0.731
Br2 0.269 0.731 0.269
Br3 0.269 0.731 0.731
Br4 0.731 0.269 0.269
Br5 0.731 0.269 0.731
Br6 0.731 0.731 0.269

## Properties
Space-group type = Fm-3m
Size of the total moment = 1.66 Bohr magnetons per cell


## two
A relaxed K3AuBr6 crystal, computed with GGA-PBE.

a = 5.113 Å, b = 8.205 Å, c = 18.250 Å
α = 90.00°, β = 103.78°, γ = 90.00°
Positions (direct):
K1 0.000 0.000 0.000
K2 0.000 0.500 0.500
K3 0.181 0.153 0.715
K4 0.181 0.347 0.215
K5 0.819 0.653 0.785
K6 0.819 0.847 0.285
Au1 0.500 0.000 0.500
Au2 0.500 0.500 0.000
Br1 0.140 0.153 0.409
Br2 0.140 0.347 0.909
Br3 0.238 0.543 0.685
Br4 0.238 0.957 0.185
Br5 0.422 0.746 0.918
Br6 0.422 0.754 0.418
Br7 0.578 0.246 0.582
Br8 0.578 0.254 0.082
Br9 0.762 0.043 0.815
Br10 0.762 0.457 0.315
Br11 0.860 0.653 0.091
Br12 0.860 0.847 0.591

## Properties
Space-group type = P2_1/c
Size of the total moment = 0.00 Bohr magnetons per cell


## three
A relaxed K3AuBr6 crystal, computed with GGA-PBE.

a = 9.015 Å, b = 9.015 Å, c = 9.015 Å
α = 87.93°, β = 87.93°, γ = 87.93°
Positions (direct):
K1 0.096 0.210 0.557
K2 0.210 0.557 0.096
K3 0.443 0.904 0.790
K4 0.557 0.096 0.210
K5 0.790 0.443 0.904
K6 0.904 0.790 0.443
Au1 0.000 0.000 0.000
Au2 0.500 0.500 0.500
Br1 0.086 0.880 0.739
Br2 0.120 0.261 0.914
Br3 0.202 0.537 0.469
Br4 0.261 0.914 0.120
Br5 0.463 0.531 0.798
Br6 0.469 0.202 0.537
Br7 0.531 0.798 0.463
Br8 0.537 0.469 0.202
Br9 0.739 0.086 0.880
Br10 0.798 0.463 0.531
Br11 0.880 0.739 0.086
Br12 0.914 0.120 0.261

## Properties
Space-group type = R-3
Size of the total moment = 2.07 Bohr magnetons per cell


Verdict on stability: one comes out at the bottom.


## one
A relaxed KAu2Br6 crystal, computed with GGA-PBE.

a = 10.867 Å, b = 10.867 Å, c = 6.752 Å
α = 93.54°, β = 93.54°, γ = 119.61°
Positions (direct):
K1 0.245 0.755 0.750
K2 0.755 0.245 0.250
Au1 0.174 0.317 0.865
Au2 0.317 0.174 0.365
Au3 0.683 0.826 0.635
Au4 0.826 0.683 0.135
Br1 0.011 0.398 0.724
Br2 0.015 0.195 0.129
Br3 0.195 0.015 0.629
Br4 0.314 0.383 0.558
Br5 0.383 0.314 0.058
Br6 0.398 0.011 0.224
Br7 0.602 0.989 0.776
Br8 0.617 0.686 0.942
Br9 0.686 0.617 0.442
Br10 0.805 0.985 0.371
Br11 0.985 0.805 0.871
Br12 0.989 0.602 0.276

## Properties
Space-group type = C2/c
Size of the total moment = 0.00 Bohr magnetons per cell


## two
A relaxed KAu2Br6 crystal, computed with GGA-PBE.

a = 9.602 Å, b = 9.602 Å, c = 8.207 Å
α = 105.12°, β = 105.12°, γ = 74.81°
Positions (direct):
K1 0.159 0.841 0.750
K2 0.841 0.159 0.250
Au1 0.253 0.253 0.143
Au2 0.253 0.253 0.643
Au3 0.747 0.747 0.357
Au4 0.747 0.747 0.857
Br1 0.015 0.201 0.950
Br2 0.119 0.388 0.392
Br3 0.201 0.015 0.450
Br4 0.298 0.487 0.841
Br5 0.388 0.119 0.892
Br6 0.487 0.298 0.341
Br7 0.513 0.702 0.659
Br8 0.612 0.881 0.108
Br9 0.702 0.513 0.159
Br10 0.799 0.985 0.550
Br11 0.881 0.612 0.608
Br12 0.985 0.799 0.050

## Properties
Space-group type = C2/c
Size of the total moment = 0.00 Bohr magnetons per cell


Verdict on stability: one comes out at the bottom.


## one
A relaxed K3AuBr crystal, computed with GGA-PBE.

a = 8.759 Å, b = 4.758 Å, c = 19.048 Å
α = 90.00°, β = 90.00°, γ = 90.00°
Positions (direct):
K1 0.016 0.250 0.115
K2 0.129 0.750 0.430
K3 0.155 0.250 0.718
K4 0.345 0.750 0.218
K5 0.371 0.250 0.930
K6 0.484 0.750 0.615
K7 0.516 0.250 0.385
K8 0.629 0.750 0.070
K9 0.655 0.250 0.782
K10 0.845 0.750 0.282
K11 0.871 0.250 0.570
K12 0.984 0.750 0.885
Au1 0.136 0.250 0.298
Au2 0.364 0.750 0.798
Au3 0.636 0.250 0.202
Au4 0.864 0.750 0.702
Br1 0.240 0.750 0.040
Br2 0.260 0.250 0.540
Br3 0.740 0.750 0.460
Br4 0.760 0.250 0.960

## Properties
Space-group type = Pnma
Size of the total moment = 0.00 Bohr magnetons per cell


## two
A relaxed K3AuBr crystal, computed with GGA-PBE.

a = 6.198 Å, b = 6.198 Å, c = 6.198 Å
α = 90.00°, β = 90.00°, γ = 90.00°
Positions (direct):
K1 0.000 0.000 0.500
K2 0.000 0.500 0.000
K3 0.500 0.000 0.000
Au1 0.500 0.500 0.500
Br1 0.000 0.000 0.000

## Properties
Space-group type = Pm-3m
Size of the total moment = 0.00 Bohr magnetons per cell


Verdict on stability: two comes out at the bottom.


## one
A relaxed KRbAuBr crystal, computed with GGA-PBE.

a = 5.836 Å, b = 5.836 Å, c = 5.836 Å
α = 60.00°, β = 60.00°, γ = 60.00°
Positions (direct):
K1 0.000 0.000 0.000
Rb1 0.500 0.500 0.500
Au1 0.750 0.750 0.750
Br1 0.250 0.250 0.250

## Properties
Space-group type = F-43m
Size of the total moment = 0.00 Bohr magnetons per cell


## two
A relaxed KRbAuBr crystal, computed with GGA-PBE.

a = 8.807 Å, b = 8.807 Å, c = 8.807 Å
α = 31.35°, β = 31.35°, γ = 31.35°
Positions (direct):
K1 0.000 0.000 0.000
Rb1 0.828 0.828 0.828
Au1 0.584 0.584 0.584
Br1 0.410 0.410 0.410

## Properties
Space-group type = R3m
Size of the total moment = 0.00 Bohr magnetons per cell


Verdict on stability: one comes out at the bottom.


## one
A relaxed K2SbAuBr6 crystal, computed with GGA-PBE.

a = 7.965 Å, b = 8.060 Å, c = 8.273 Å
α = 62.74°, β = 88.62°, γ = 60.77°
Positions (direct):
K1 0.000 0.000 0.000
K2 0.448 0.049 0.446
Sb1 0.678 0.619 0.086
Au1 0.235 0.634 0.787
Br1 0.002 0.176 0.290
Br2 0.366 0.061 0.849
Br3 0.441 0.528 0.294
Br4 0.581 0.513 0.788
Br5 0.806 0.722 0.302
Br6 0.884 0.795 0.777

## Properties
Space-group type = P1
Size of the total moment = 0.00 Bohr magnetons per cell


## two
A relaxed K2SbAuBr6 crystal, computed with GGA-PBE.

a = 7.929 Å, b = 7.929 Å, c = 7.929 Å
α = 60.00°, β = 60.00°, γ = 60.00°
Positions (direct):
K1 0.250 0.250 0.250
K2 0.750 0.750 0.750
Sb1 0.000 0.000 0.000
Au1 0.500 0.500 0.500
Br1 0.251 0.251 0.749
Br2 0.251 0.749 0.251
Br3 0.251 0.749 0.749
Br4 0.749 0.251 0.251
Br5 0.749 0.251 0.749
Br6 0.749 0.749 0.251

## Properties
Space-group type = Fm-3m
Size of the total moment = 0.00 Bohr magnetons per cell


Verdict on stability: two comes out at the bottom.


## one
A relaxed KAuSe2Br crystal, computed with GGA-PBE.

a = 5.153 Å, b = 5.153 Å, c = 5.581 Å
α = 90.00°, β = 90.00°, γ = 90.00°
Positions (direct):
K1 0.000 0.000 0.000
Au1 0.500 0.500 0.500
Se1 0.000 0.500 0.500
Se2 0.500 0.000 0.500
Br1 0.500 0.500 0.000

## Properties
Space-group type = P4/mmm
Size of the total moment = 0.00 Bohr magnetons per cell


## two
A relaxed KAuSe2Br crystal, computed with GGA-PBE.

a = 6.093 Å, b = 6.093 Å, c = 5.892 Å
α = 90.00°, β = 90.00°, γ = 90.00°
Positions (direct):
K1 0.000 0.000 0.000
Au1 0.500 0.500 0.500
Se1 0.000 0.500 0.000
Se2 0.500 0.000 0.000
Br1 0.000 0.000 0.500

## Properties
Space-group type = P4/mmm
Size of the total moment = 3.05 Bohr magnetons per cell


Verdict on stability: two comes out at the bottom.